Entry from Alexandria via LeMat-Bulk: a relaxed DyY2AgO crystal (PBE-GGA).

Uncorrected formation energy = -1227 meV per atom
M_tot = 0.000 μB per atom
Volume = 21.64 A^3/atom

extended XYZ file:
```
5
Lattice="-0.1346 -0.9739 -4.6684 2.7738 -3.8149 0.7159 -3.8662 -2.6852 0.6716" Properties=species:S:1:pos:R:3 pbc="T T T"
Y 2.7060 -4.3021 -1.6183
Y 1.3866 -1.9077 0.3580
Dy 0.8404 -5.1577 1.0517
Ag -0.6125 -3.7365 -1.6406
O -3.8661 -2.6852 0.6716
```